# Rb2HfNi, optimized geometry, DFT PBE
data_Rb2HfNi
_chemical_formula_sum 'Rb8 Hf4 Ni4'
_cell_length_a 8.358
_cell_length_b 8.358
_cell_length_c 8.358
_cell_angle_alpha 90.00
_cell_angle_beta 90.00
_cell_angle_gamma 90.00
_symmetry_space_group_name_H-M 'F m -3 m'
_symmetry_Int_Tables_number 225
_symmetry_space_group_name_Hall '-F 4 2 3'
loop_
_atom_site_label
_atom_site_type_symbol
_atom_site_fract_x
_atom_site_fract_y
_atom_site_fract_z
_atom_site_occupancy
Rb1 Rb 0.250 0.250 0.250 1
Hf1 Hf 0.000 0.000 0.000 1
Ni1 Ni 0.000 0.000 0.500 1
# * V: 583.9 Å³/cell
# * D(E_F): 3.471 states/eV/atom
# * energy of formation from the pure elements: 6.85 eV/f.u.
# * polymorph energy (0 for the lowest one): 2.97 eV per formula unit

***

# SrLiPrTl, optimized geometry, DFT PBE
data_SrLiPrTl
_chemical_formula_sum 'Sr4 Li4 Pr4 Tl4'
_cell_length_a 7.956
_cell_length_b 7.956
_cell_length_c 7.956
_cell_angle_alpha 90.00
_cell_angle_beta 90.00
_cell_angle_gamma 90.00
_symmetry_space_group_name_H-M 'F -4 3 m'
_symmetry_Int_Tables_number 216
_symmetry_space_group_name_Hall 'F -4 2 3'
loop_
_atom_site_label
_atom_site_type_symbol
_atom_site_fract_x
_atom_site_fract_y
_atom_site_fract_z
_atom_site_occupancy
Sr1 Sr 0.000 0.000 0.000 1
Li1 Li 0.250 0.250 0.750 1
Pr1 Pr 0.000 0.000 0.500 1
Tl1 Tl 0.250 0.250 0.250 1
# * V: 503.6 Å³/cell
# * D(E_F): 0.900 states/eV/atom
# * energy of formation from the pure elements: -0.76 eV/f.u.

***

# TeCl3, optimized geometry, DFT PBE
data_TeCl3
_chemical_formula_sum 'Te2 Cl6'
_cell_length_a 3.552
_cell_length_b 5.191
_cell_length_c 13.401
_cell_angle_alpha 90.00
_cell_angle_beta 90.00
_cell_angle_gamma 90.00
_symmetry_space_group_name_H-M 'I m m m'
_symmetry_Int_Tables_number 71
_symmetry_space_group_name_Hall '-I 2 2'
loop_
_atom_site_label
_atom_site_type_symbol
_atom_site_fract_x
_atom_site_fract_y
_atom_site_fract_z
_atom_site_occupancy
Te1 Te 0.000 0.000 0.000 1
Cl1 Cl 0.000 0.000 0.500 1
Cl2 Cl 0.000 0.500 0.352 1
# * V: 247.1 Å³/cell
# * D(E_F): 0.460 states/eV/atom
# * polymorph energy (0 for the lowest one): 0.84 eV per formula unit

***

# Sm4Hg5Pd2, optimized geometry, DFT PBE
data_Sm4Hg5Pd2
_chemical_formula_sum 'Sm4 Hg5 Pd2'
_cell_length_a 7.764
_cell_length_b 3.697
_cell_length_c 9.693
_cell_angle_alpha 90.00
_cell_angle_beta 93.71
_cell_angle_gamma 90.00
_symmetry_space_group_name_H-M 'P 1 2/m 1'
_symmetry_Int_Tables_number 10
loop_
_symmetry_equiv_pos_as_xyz
'x,y,z'
'-x,-y,-z'
'-x,y,-z'
'x,-y,z'
loop_
_atom_site_label
_atom_site_type_symbol
_atom_site_fract_x
_atom_site_fract_y
_atom_site_fract_z
_atom_site_occupancy
Sm1 Sm 0.181 0.000 0.357 1
Sm2 Sm 0.236 0.000 0.935 1
Hg1 Hg 0.169 0.500 0.644 1
Hg2 Hg 0.449 0.500 0.175 1
Hg3 Hg 0.500 0.500 0.500 1
Pd1 Pd 0.071 0.500 0.135 1
# * V: 277.7 Å³/cell
# * D(E_F): 0.732 states/eV/atom
# * energy of formation from the pure elements: -6.28 eV/f.u.

***

# TbNdSiPd, optimized geometry, DFT PBE
data_TbNdSiPd
_chemical_formula_sum 'Tb4 Nd4 Si4 Pd4'
_cell_length_a 7.185
_cell_length_b 7.185
_cell_length_c 7.185
_cell_angle_alpha 90.00
_cell_angle_beta 90.00
_cell_angle_gamma 90.00
_symmetry_space_group_name_H-M 'F -4 3 m'
_symmetry_Int_Tables_number 216
_symmetry_space_group_name_Hall 'F -4 2 3'
loop_
_atom_site_label
_atom_site_type_symbol
_atom_site_fract_x
_atom_site_fract_y
_atom_site_fract_z
_atom_site_occupancy
Tb1 Tb 0.000 0.000 0.000 1
Nd1 Nd 0.000 0.000 0.500 1
Si1 Si 0.250 0.250 0.250 1
Pd1 Pd 0.250 0.250 0.750 1
# * V: 371.0 Å³/cell
# * D(E_F): 0.652 states/eV/atom
# * polymorph energy (0 for the lowest one): 0.51 eV per formula unit

***

# Rb2GaSe2, optimized geometry, DFT PBE
data_Rb2GaSe2
_chemical_formula_sum 'Rb4 Ga2 Se4'
_cell_length_a 8.017
_cell_length_b 8.017
_cell_length_c 5.161
_cell_angle_alpha 90.00
_cell_angle_beta 90.00
_cell_angle_gamma 90.00
_symmetry_space_group_name_H-M 'P 4/m b m'
_symmetry_Int_Tables_number 127
_symmetry_space_group_name_Hall '-P 4 2ab'
loop_
_atom_site_label
_atom_site_type_symbol
_atom_site_fract_x
_atom_site_fract_y
_atom_site_fract_z
_atom_site_occupancy
Rb1 Rb 0.142 0.358 0.000 1
Ga1 Ga 0.000 0.000 0.500 1
Se1 Se 0.182 0.682 0.500 1
# * V: 331.7 Å³/cell
# * D(E_F): 0.800 states/eV/atom
# * polymorph energy (0 for the lowest one): 0.91 eV per formula unit

***

# Na2Ti2PdSe6, optimized geometry, DFT PBE
data_Na2Ti2PdSe6
_chemical_formula_sum 'Na4 Ti4 Pd2 Se12'
_cell_length_a 6.466
_cell_length_b 11.064
_cell_length_c 7.382
_cell_angle_alpha 90.00
_cell_angle_beta 106.29
_cell_angle_gamma 90.00
_symmetry_space_group_name_H-M 'C 1 2/m 1'
_symmetry_Int_Tables_number 12
loop_
_symmetry_equiv_pos_as_xyz
'x,y,z'
'-x,-y,-z'
'-x,y,-z'
'x,-y,z'
'x+1/2,y+1/2,z'
'-x+1/2,-y+1/2,-z'
'-x+1/2,y+1/2,-z'
'x+1/2,-y+1/2,z'
loop_
_atom_site_label
_atom_site_type_symbol
_atom_site_fract_x
_atom_site_fract_y
_atom_site_fract_z
_atom_site_occupancy
Na1 Na 0.000 0.155 0.000 1
Ti1 Ti 0.000 0.315 0.500 1
Pd1 Pd 0.000 0.000 0.500 1
Se1 Se 0.227 0.500 0.690 1
Se2 Se 0.244 0.333 0.283 1
# * V: 506.9 Å³/cell
# * raw total energy: -4.98 eV/atom
# * D(E_F): 0.374 states/eV/atom

***

# LaSc2Ni, optimized geometry, DFT PBE
data_LaSc2Ni
_chemical_formula_sum 'La3 Sc6 Ni3'
_cell_length_a 3.3240
_cell_length_b 3.3240
_cell_length_c 30.5022
_cell_angle_alpha 90.00
_cell_angle_beta 90.00
_cell_angle_gamma 120.00
_symmetry_space_group_name_H-M 'R -3 m'
_symmetry_Int_Tables_number 166
_symmetry_space_group_name_Hall '-R 3 2"'
loop_
_atom_site_label
_atom_site_type_symbol
_atom_site_fract_x
_atom_site_fract_y
_atom_site_fract_z
_atom_site_occupancy
La1 La 0.0000 0.0000 0.0000 1
Sc1 Sc 0.0000 0.0000 0.1100 1
Ni1 Ni 0.0000 0.0000 0.5000 1
# * V: 291.9 Å³/cell
# * D(E_F): 1.583 states/eV/atom
# * energy of formation from the pure elements: 0.16 eV/f.u.
# * polymorph energy (0 for the lowest one): 0.96 eV per formula unit

***

# Ta2NiP, optimized geometry, DFT PBE
data_Ta2NiP
_chemical_formula_sum 'Ta6 Ni3 P3'
_cell_length_a 3.5947
_cell_length_b 3.5947
_cell_length_c 17.0695
_cell_angle_alpha 90.00
_cell_angle_beta 90.00
_cell_angle_gamma 120.00
_symmetry_space_group_name_H-M 'R -3 m'
_symmetry_Int_Tables_number 166
_symmetry_space_group_name_Hall '-R 3 2"'
loop_
_atom_site_label
_atom_site_type_symbol
_atom_site_fract_x
_atom_site_fract_y
_atom_site_fract_z
_atom_site_occupancy
Ta1 Ta 0.0000 0.0000 0.2478 1
Ni1 Ni 0.0000 0.0000 0.5000 1
P1 P 0.0000 0.0000 0.0000 1
# * V: 191.0 Å³/cell
# * D(E_F): 1.229 states/eV/atom
# * energy of formation from the pure elements: -0.82 eV/f.u.

***

# Pr2DyS3, optimized geometry, DFT PBE
data_Pr2DyS3
_chemical_formula_sum 'Pr4 Dy2 S6'
_cell_length_a 4.025
_cell_length_b 5.721
_cell_length_c 12.160
_cell_angle_alpha 90.00
_cell_angle_beta 90.00
_cell_angle_gamma 90.00
_symmetry_space_group_name_H-M 'I m m m'
_symmetry_Int_Tables_number 71
_symmetry_space_group_name_Hall '-I 2 2'
loop_
_atom_site_label
_atom_site_type_symbol
_atom_site_fract_x
_atom_site_fract_y
_atom_site_fract_z
_atom_site_occupancy
Pr1 Pr 0.000 0.000 0.171 1
Dy1 Dy 0.000 0.000 0.500 1
S1 S 0.000 0.500 0.156 1
S2 S 0.000 0.500 0.500 1
# * V: 280.0 Å³/cell
# * D(E_F): 0.443 states/eV/atom
# * polymorph energy (0 for the lowest one): 0.07 eV per formula unit

***

# Ba3Dy3AgTe8, optimized geometry, DFT PBE
data_Ba3Dy3AgTe8
_chemical_formula_sum 'Ba9 Dy9 Ag3 Te24'
_cell_length_a 9.1167
_cell_length_b 9.1167
_cell_length_c 23.5180
_cell_angle_alpha 90.00
_cell_angle_beta 90.00
_cell_angle_gamma 120.00
_symmetry_space_group_name_H-M 'R -3 m'
_symmetry_Int_Tables_number 166
_symmetry_space_group_name_Hall '-R 3 2"'
loop_
_atom_site_label
_atom_site_type_symbol
_atom_site_fract_x
_atom_site_fract_y
_atom_site_fract_z
_atom_site_occupancy
Ba1 Ba 0.0000 0.5000 0.0000 1
Dy1 Dy 0.0000 0.5000 0.5000 1
Ag1 Ag 0.0000 0.0000 0.5000 1
Te1 Te 0.0000 0.0000 0.2389 1
Te2 Te 0.0093 0.5046 0.7618 1
# * V: 1692.7 Å³/cell
# * raw total energy: -4.49 eV/atom
# * D(E_F): 0.175 states/eV/atom

***

# RbTl12Au5, optimized geometry, DFT PBE
data_RbTl12Au5
_chemical_formula_sum 'Rb2 Tl24 Au10'
_cell_length_a 9.061
_cell_length_b 9.922
_cell_length_c 11.519
_cell_angle_alpha 90.00
_cell_angle_beta 90.00
_cell_angle_gamma 90.00
_symmetry_space_group_name_H-M 'I m m m'
_symmetry_Int_Tables_number 71
_symmetry_space_group_name_Hall '-I 2 2'
loop_
_atom_site_label
_atom_site_type_symbol
_atom_site_fract_x
_atom_site_fract_y
_atom_site_fract_z
_atom_site_occupancy
Rb1 Rb 0.000 0.000 0.000 1
Tl1 Tl 0.000 0.294 0.187 1
Tl2 Tl 0.181 0.266 0.500 1
Tl3 Tl 0.195 0.000 0.268 1
Au1 Au 0.000 0.000 0.500 1
Au2 Au 0.000 0.500 0.373 1
Au3 Au 0.153 0.500 0.000 1
# * V: 1035.6 Å³/cell
# * D(E_F): 0.493 states/eV/atom
# * energy of formation from the pure elements: -0.46 eV/f.u.

***

# B2Br2O, optimized geometry, DFT PBE
data_B2Br2O
_chemical_formula_sum 'B4 Br4 O2'
_cell_length_a 4.034
_cell_length_b 4.034
_cell_length_c 9.293
_cell_angle_alpha 90.00
_cell_angle_beta 90.00
_cell_angle_gamma 90.00
_symmetry_space_group_name_H-M 'I 4/m m m'
_symmetry_Int_Tables_number 139
_symmetry_space_group_name_Hall '-I 4 2'
loop_
_atom_site_label
_atom_site_type_symbol
_atom_site_fract_x
_atom_site_fract_y
_atom_site_fract_z
_atom_site_occupancy
B1 B 0.000 0.500 0.250 1
Br1 Br 0.000 0.000 0.162 1
O1 O 0.000 0.000 0.500 1
# * V: 151.2 Å³/cell
# * D(E_F): 0.368 states/eV/atom
# * polymorph energy (0 for the lowest one): 0.00 eV per formula unit

***

# Co4Ir5Rh, optimized geometry, DFT PBE
data_Co4Ir5Rh
_chemical_formula_sum 'Co8 Ir10 Rh2'
_cell_length_a 13.107
_cell_length_b 3.801
_cell_length_c 6.264
_cell_angle_alpha 90.00
_cell_angle_beta 118.21
_cell_angle_gamma 90.00
_symmetry_space_group_name_H-M 'C 1 2/m 1'
_symmetry_Int_Tables_number 12
loop_
_symmetry_equiv_pos_as_xyz
'x,y,z'
'-x,-y,-z'
'-x,y,-z'
'x,-y,z'
'x+1/2,y+1/2,z'
'-x+1/2,-y+1/2,-z'
'-x+1/2,y+1/2,-z'
'x+1/2,-y+1/2,z'
loop_
_atom_site_label
_atom_site_type_symbol
_atom_site_fract_x
_atom_site_fract_y
_atom_site_fract_z
_atom_site_occupancy
Co1 Co 0.025 0.000 0.274 1
Co2 Co 0.174 0.500 0.424 1
Ir1 Ir 0.000 0.500 0.500 1
Ir2 Ir 0.171 0.000 0.718 1
Ir3 Ir 0.173 0.000 0.126 1
Rh1 Rh 0.000 0.500 0.000 1
# * V: 275.0 Å³/cell
# * D(E_F): 1.410 states/eV/atom
# * energy of formation from the pure elements: 2.66 eV/f.u.

***

# Bi2MoN2, optimized geometry, DFT PBE
data_Bi2MoN2
_chemical_formula_sum 'Bi4 Mo2 N4'
_cell_length_a 4.125
_cell_length_b 4.125
_cell_length_c 12.670
_cell_angle_alpha 90.00
_cell_angle_beta 90.00
_cell_angle_gamma 90.00
_symmetry_space_group_name_H-M 'I 4/m m m'
_symmetry_Int_Tables_number 139
_symmetry_space_group_name_Hall '-I 4 2'
loop_
_atom_site_label
_atom_site_type_symbol
_atom_site_fract_x
_atom_site_fract_y
_atom_site_fract_z
_atom_site_occupancy
Bi1 Bi 0.000 0.000 0.164 1
Mo1 Mo 0.000 0.000 0.500 1
N1 N 0.000 0.500 0.250 1
# * V: 215.6 Å³/cell
# * D(E_F): 0.391 states/eV/atom
# * polymorph energy (0 for the lowest one): 0.00 eV per formula unit

***

# LaNiSe2, optimized geometry, DFT PBE
data_LaNiSe2
_chemical_formula_sum 'La1 Ni1 Se2'
_cell_length_a 4.758
_cell_length_b 4.758
_cell_length_c 3.737
_cell_angle_alpha 90.00
_cell_angle_beta 90.00
_cell_angle_gamma 90.00
_symmetry_space_group_name_H-M 'P 4/m m m'
_symmetry_Int_Tables_number 123
_symmetry_space_group_name_Hall '-P 4 2'
loop_
_atom_site_label
_atom_site_type_symbol
_atom_site_fract_x
_atom_site_fract_y
_atom_site_fract_z
_atom_site_occupancy
La1 La 0.000 0.000 0.000 1
Ni1 Ni 0.500 0.500 0.000 1
Se1 Se 0.000 0.500 0.500 1
# * V: 84.6 Å³/cell
# * raw total energy: -5.26 eV/atom
# * D(E_F): 0.738 states/eV/atom

***

# Gd2PdO, optimized geometry, DFT PBE
data_Gd2PdO
_chemical_formula_sum 'Gd6 Pd3 O3'
_cell_length_a 3.6714
_cell_length_b 3.6714
_cell_length_c 20.3212
_cell_angle_alpha 90.00
_cell_angle_beta 90.00
_cell_angle_gamma 120.00
_symmetry_space_group_name_H-M 'R -3 m'
_symmetry_Int_Tables_number 166
_symmetry_space_group_name_Hall '-R 3 2"'
loop_
_atom_site_label
_atom_site_type_symbol
_atom_site_fract_x
_atom_site_fract_y
_atom_site_fract_z
_atom_site_occupancy
Gd1 Gd 0.0000 0.0000 0.2362 1
Pd1 Pd 0.0000 0.0000 0.0000 1
O1 O 0.0000 0.0000 0.5000 1
# * V: 237.2 Å³/cell
# * D(E_F): 0.631 states/eV/atom
# * polymorph energy (0 for the lowest one): 0.00 eV per formula unit

***

# ZnGa8Ag6, optimized geometry, DFT PBE
data_ZnGa8Ag6
_chemical_formula_sum 'Zn3 Ga24 Ag18'
_cell_length_a 7.8822
_cell_length_b 7.8822
_cell_length_c 15.9189
_cell_angle_alpha 90.00
_cell_angle_beta 90.00
_cell_angle_gamma 120.00
_symmetry_space_group_name_H-M 'R -3'
_symmetry_Int_Tables_number 148
_symmetry_space_group_name_Hall '-R 3'
loop_
_atom_site_label
_atom_site_type_symbol
_atom_site_fract_x
_atom_site_fract_y
_atom_site_fract_z
_atom_site_occupancy
Zn1 Zn 0.0000 0.0000 0.0000 1
Ga1 Ga 0.0000 0.0000 0.4084 1
Ga2 Ga 0.9995 0.3169 0.7942 1
Ag1 Ag 0.0123 0.7004 0.7070 1
# * V: 856.5 Å³/cell
# * D(E_F): 0.182 states/eV/atom
# * energy of formation from the pure elements: 0.53 eV/f.u.
# * polymorph energy (0 for the lowest one): 0.22 eV per formula unit

***

# RbOsRh, optimized geometry, DFT PBE
data_RbOsRh
_chemical_formula_sum 'Rb4 Os4 Rh4'
_cell_length_a 6.468
_cell_length_b 6.468
_cell_length_c 6.468
_cell_angle_alpha 90.00
_cell_angle_beta 90.00
_cell_angle_gamma 90.00
_symmetry_space_group_name_H-M 'F -4 3 m'
_symmetry_Int_Tables_number 216
_symmetry_space_group_name_Hall 'F -4 2 3'
loop_
_atom_site_label
_atom_site_type_symbol
_atom_site_fract_x
_atom_site_fract_y
_atom_site_fract_z
_atom_site_occupancy
Rb1 Rb 0.000 0.000 0.000 1
Os1 Os 0.250 0.250 0.750 1
Rh1 Rh 0.000 0.000 0.500 1
# * V: 270.6 Å³/cell
# * D(E_F): 1.710 states/eV/atom
# * energy of formation from the pure elements: 5.88 eV/f.u.
# * polymorph energy (0 for the lowest one): 4.45 eV per formula unit

***

# Li4SiPd4, optimized geometry, DFT PBE
data_Li4SiPd4
_chemical_formula_sum 'Li8 Si2 Pd8'
_cell_length_a 7.697
_cell_length_b 7.697
_cell_length_c 4.158
_cell_angle_alpha 90.00
_cell_angle_beta 90.00
_cell_angle_gamma 90.00
_symmetry_space_group_name_H-M 'I 4/m m m'
_symmetry_Int_Tables_number 139
_symmetry_space_group_name_Hall '-I 4 2'
loop_
_atom_site_label
_atom_site_type_symbol
_atom_site_fract_x
_atom_site_fract_y
_atom_site_fract_z
_atom_site_occupancy
Li1 Li 0.169 0.169 0.000 1
Si1 Si 0.000 0.000 0.500 1
Pd1 Pd 0.000 0.312 0.500 1
# * V: 246.3 Å³/cell
# * raw total energy: -4.26 eV/atom
# * D(E_F): 0.447 states/eV/atom